Below is a relaxed structure of PmNi4, with properties calculated at the PBE level.

Its density of states at the Fermi level is 10.38 states/eV/f.u. The energy above the most stable polymorph in this dataset comes out at 819 meV per atom. Its total moment is 0.04 Bohr magnetons per cell. The calculation puts the energy of formation at 0.679 eV per atom.

The structure belongs to space group I4/mmm (No. 139); the cell edges are 7.802, 7.802 and 2.810 Å and the angles 90.00°, 90.00° and 90.00°. Symmetry generates all atoms from Pm at (0.000, 0.000, 0.000) and Ni at (0.000, 0.327, 0.000).